# Ba3CeMn2O8

A geometry-optimized Ba3CeMn2O8 structure (PBE+U, the Alexandria database).

Output
- Space group: No. 164
- Raw total energy: -0.260 Ha/atom

The structure in POSCAR format:
```
Ba3CeMn2O8
1.0
6.134 0.000 0.000
-3.067 5.312 0.000
0.000 0.000 7.635
Ba Ce Mn O
3 1 2 8
Direct
0.000 0.000 0.000
0.333 0.667 0.663
0.667 0.333 0.337
0.000 0.000 0.500
0.333 0.667 0.212
0.667 0.333 0.788
0.165 0.331 0.317
0.165 0.835 0.317
0.331 0.165 0.683
0.333 0.667 0.979
0.667 0.333 0.021
0.669 0.835 0.317
0.835 0.165 0.683
0.835 0.669 0.683
```